Density functional theory data (GGA+U) for crystalline Li2PaCr2O7 at its relaxed geometry.

## Properties
Final energy ... -0.2705 hartree per atom

Lattice parameters (Å, degrees): 3.8199 4.9758 7.6139 109.07 104.53 90.00
Each line ends with the local moment (μB).
Atoms (fractional coordinates):
O 0.6017 0.0683 0.2034  -0.12
O 0.7564 0.6867 0.5129  -0.12
O 0.1294 0.5604 0.2588  -0.06
O 0.8706 0.3016 0.7412  -0.06
O 0.2436 0.1739 0.4871  -0.12
O 0.3983 0.8649 0.7966  -0.12
O 0.5000 0.4026 0.0000  -0.03
Li 0.3854 0.4632 0.7708  0.00
Li 0.6146 0.6924 0.2292  0.00
Cr 0.7331 0.2783 0.4663  2.75
Cr 0.2669 0.8120 0.5337  2.75
Pa 0.0000 0.1954 0.0000  0.07